[1]
Material: RbGe2Au
Method: DFT, GGA-PBE
State: optimized geometry

Properties
* total magnetization: 0.0 μB/f.u.
* ΔE_f: 0.05 eV/atom
* D(E_F): 0.219 states/eV per atom
* SG: R-3m (166)

Cell: 8.9622 8.9622 8.9622 Å, 28.11 28.11 28.11°
Fractional positions:
1 Rb 0.0000 0.0000 0.0000
2 Ge 0.1332 0.1332 0.1332
3 Ge 0.8668 0.8668 0.8668
4 Au 0.5000 0.5000 0.5000


[2]
Material: RbGe6Au12
Method: DFT, GGA-PBE
State: optimized geometry

Properties
* total magnetization: 0.0 μB/f.u.
* ΔE_f: 0.03 eV/atom
* D(E_F): 0.263 states/eV per atom
* SG: R-3m (166)

Cell: 7.6645 7.6645 7.6645 Å, 104.11 104.11 104.11°
Fractional positions:
1 Rb 0.0000 0.0000 0.0000
2 Ge 0.2644 0.2644 0.6849
3 Ge 0.2644 0.6849 0.2644
4 Ge 0.3151 0.7356 0.7356
5 Ge 0.6849 0.2644 0.2644
6 Ge 0.7356 0.3151 0.7356
7 Ge 0.7356 0.7356 0.3151
8 Au 0.1188 0.5000 0.8812
9 Au 0.1188 0.8812 0.5000
10 Au 0.1517 0.3999 0.3999
11 Au 0.3999 0.1517 0.3999
12 Au 0.3999 0.3999 0.1517
13 Au 0.5000 0.1188 0.8812
14 Au 0.5000 0.8812 0.1188
15 Au 0.6001 0.6001 0.8483
16 Au 0.6001 0.8483 0.6001
17 Au 0.8483 0.6001 0.6001
18 Au 0.8812 0.1188 0.5000
19 Au 0.8812 0.5000 0.1188


[3]
Material: Rb3Ge4Au
Method: DFT, GGA-PBE
State: optimized geometry

Properties
* total magnetization: 0.0 μB/f.u.
* ΔE_f: -0.27 eV/atom
* SG: Pmmn (59)

Cell: 6.9638 12.6717 6.2244 Å, 90.00 90.00 90.00°
Fractional positions:
1 Rb 0.2500 0.0141 0.1668
2 Rb 0.2500 0.2500 0.5753
3 Rb 0.2500 0.4859 0.1668
4 Rb 0.7500 0.5141 0.8332
5 Rb 0.7500 0.7500 0.4247
6 Rb 0.7500 0.9859 0.8332
7 Ge 0.0516 0.7500 0.9396
8 Ge 0.2500 0.6401 0.6706
9 Ge 0.2500 0.8599 0.6706
10 Ge 0.4484 0.7500 0.9396
11 Ge 0.5516 0.2500 0.0604
12 Ge 0.7500 0.1401 0.3294
13 Ge 0.7500 0.3599 0.3294
14 Ge 0.9484 0.2500 0.0604
15 Au 0.2500 0.7500 0.3074
16 Au 0.7500 0.2500 0.6926


[4]
Material: RbGe6Au8
Method: DFT, GGA-PBE
State: optimized geometry

Properties
* total magnetization: 0.0 μB/f.u.
* ΔE_f: 0.03 eV/atom
* D(E_F): 0.393 states/eV per atom
* SG: R-3 (148)

Cell: 6.9413 6.9413 6.9413 Å, 75.71 75.71 75.71°
Fractional positions:
1 Rb 0.0000 0.0000 0.0000
2 Ge 0.1886 0.5758 0.3555
3 Ge 0.3555 0.1886 0.5758
4 Ge 0.4242 0.6445 0.8114
5 Ge 0.5758 0.3555 0.1886
6 Ge 0.6445 0.8114 0.4242
7 Ge 0.8114 0.4242 0.6445
8 Au 0.1257 0.4670 0.7932
9 Au 0.2068 0.8743 0.5330
10 Au 0.2152 0.2152 0.2152
11 Au 0.4670 0.7932 0.1257
12 Au 0.5330 0.2068 0.8743
13 Au 0.7848 0.7848 0.7848
14 Au 0.7932 0.1257 0.4670
15 Au 0.8743 0.5330 0.2068


[5]
Material: RbGe2Au7
Method: DFT, GGA-PBE
State: optimized geometry

Properties
* total magnetization: 0.0 μB/f.u.
* ΔE_f: 0.02 eV/atom
* D(E_F): 0.423 states/eV per atom
* SG: Cmmm (65)

Cell: 7.2738 7.2738 5.0287 Å, 90.00 90.00 115.39°
Fractional positions:
1 Rb 0.0000 0.0000 0.0000
2 Ge 0.2895 0.7105 0.5000
3 Ge 0.7105 0.2895 0.5000
4 Au 0.0696 0.3071 0.5000
5 Au 0.3071 0.0696 0.5000
6 Au 0.3579 0.6421 0.0000
7 Au 0.5000 0.5000 0.5000
8 Au 0.6421 0.3579 0.0000
9 Au 0.6929 0.9304 0.5000
10 Au 0.9304 0.6929 0.5000


[6]
Material: Rb2GeAu
Method: DFT, GGA-PBE
State: optimized geometry

Properties
* total magnetization: 0.0 μB/f.u.
* ΔE_f: -0.11 eV/atom
* D(E_F): 0.524 states/eV per atom
* SG: I-42d (122)

Cell: 9.7786 9.7786 9.7786 Å, 93.45 93.45 151.60°
Fractional positions:
1 Rb 0.3750 0.1658 0.2908
2 Rb 0.8342 0.1250 0.2092
3 Rb 0.8750 0.0842 0.7092
4 Rb 0.9158 0.6250 0.7908
5 Ge 0.2500 0.7500 0.5000
6 Ge 0.5000 0.5000 0.0000
7 Au 0.0000 0.0000 0.0000
8 Au 0.7500 0.2500 0.5000


[7]
Material: RbGe2Au4
Method: DFT, GGA-PBE
State: optimized geometry

Properties
* total magnetization: 0.0 μB/f.u.
* ΔE_f: -0.11 eV/atom
* energy relative to the lowest polymorph listed for this composition: 0 meV per atom
* D(E_F): 0.365 states/eV per atom
* SG: Cmmm (65)

Cell: 7.5106 7.5106 4.7578 Å, 90.00 90.00 143.89°
Fractional positions:
1 Rb 0.0000 0.0000 0.0000
2 Ge 0.3968 0.6032 0.5000
3 Ge 0.6032 0.3968 0.5000
4 Au 0.1862 0.8138 0.5000
5 Au 0.3163 0.6837 0.0000
6 Au 0.6837 0.3163 0.0000
7 Au 0.8138 0.1862 0.5000


[8]
Material: Rb2GeAu3
Method: DFT, GGA-PBE
State: optimized geometry

Properties
* total magnetization: 0.0 μB/f.u.
* ΔE_f: -0.28 eV/atom
* energy relative to the lowest polymorph listed for this composition: 0 meV per atom
* D(E_F): 0.342 states/eV per atom
* SG: Pmma (51)

Cell: 5.8316 6.6017 8.7020 Å, 90.00 90.00 90.00°
Fractional positions:
1 Rb 0.2500 0.0000 0.1216
2 Rb 0.2500 0.5000 0.3600
3 Rb 0.7500 0.0000 0.8784
4 Rb 0.7500 0.5000 0.6400
5 Ge 0.2500 0.5000 0.9314
6 Ge 0.7500 0.5000 0.0686
7 Au 0.0000 0.0000 0.5000
8 Au 0.2500 0.2199 0.7326
9 Au 0.2500 0.7801 0.7326
10 Au 0.5000 0.0000 0.5000
11 Au 0.7500 0.2199 0.2674
12 Au 0.7500 0.7801 0.2674


[9]
Material: RbGe8Au6
Method: DFT, GGA-PBE
State: optimized geometry

Properties
* total magnetization: 0.0 μB/f.u.
* ΔE_f: 0.09 eV/atom
* D(E_F): 0.325 states/eV per atom
* SG: R-3 (148)

Cell: 7.3412 7.3412 7.3412 Å, 76.22 76.22 76.22°
Fractional positions:
1 Rb 0.0000 0.0000 0.0000
2 Ge 0.0957 0.6299 0.6178
3 Ge 0.2626 0.2626 0.2626
4 Ge 0.3701 0.3822 0.9043
5 Ge 0.3822 0.9043 0.3701
6 Ge 0.6178 0.0957 0.6299
7 Ge 0.6299 0.6178 0.0957
8 Ge 0.7374 0.7374 0.7374
9 Ge 0.9043 0.3701 0.3822
10 Au 0.2643 0.2735 0.6364
11 Au 0.2735 0.6364 0.2643
12 Au 0.3636 0.7357 0.7265
13 Au 0.6364 0.2643 0.2735
14 Au 0.7265 0.3636 0.7357
15 Au 0.7357 0.7265 0.3636


[10]
Material: RbGe2Au
Method: DFT, GGA-PBE
State: optimized geometry

Properties
* total magnetization: 0.0 μB/f.u.
* ΔE_f: 0.01 eV/atom
* D(E_F): 0.383 states/eV per atom
* SG: I4_1/amd (141)

Cell: 10.0321 10.0321 10.0321 Å, 150.36 150.36 42.42°
Fractional positions:
1 Rb 0.3750 0.6250 0.7500
2 Rb 0.6250 0.3750 0.2500
3 Ge 0.0000 0.0000 0.0000
4 Ge 0.0000 0.0000 0.5000
5 Ge 0.0000 0.5000 0.0000
6 Ge 0.5000 0.0000 0.5000
7 Au 0.1250 0.8750 0.2500
8 Au 0.8750 0.1250 0.7500


[11]
Material: RbGe3Au6
Method: DFT, GGA-PBE
State: optimized geometry

Properties
* total magnetization: 0.0 μB/f.u.
* ΔE_f: 0.00 eV/atom
* D(E_F): 0.337 states/eV per atom
* SG: P2_1/c (14)

Cell: 6.9478 7.3847 9.0694 Å, 90.00 113.83 90.00°
Fractional positions:
1 Rb 0.0000 0.0000 0.0000
2 Rb 0.0000 0.5000 0.5000
3 Ge 0.1704 0.0852 0.4203
4 Ge 0.1704 0.4148 0.9203
5 Ge 0.5000 0.0000 0.0000
6 Ge 0.5000 0.5000 0.5000
7 Ge 0.8296 0.5852 0.0797
8 Ge 0.8296 0.9148 0.5797
9 Au 0.1868 0.1273 0.7263
10 Au 0.1868 0.3727 0.2263
11 Au 0.2566 0.7354 0.8419
12 Au 0.2566 0.7646 0.3419
13 Au 0.4983 0.0910 0.3188
14 Au 0.4983 0.4090 0.8188
15 Au 0.5017 0.5910 0.1812
16 Au 0.5017 0.9090 0.6812
17 Au 0.7434 0.2354 0.6581
18 Au 0.7434 0.2646 0.1581
19 Au 0.8132 0.6273 0.7737
20 Au 0.8132 0.8727 0.2737


[12]
Material: Rb2Ge3Au6
Method: DFT, GGA-PBE
State: optimized geometry

Properties
* total magnetization: 0.0 μB/f.u.
* ΔE_f: -0.11 eV/atom
* D(E_F): 0.371 states/eV per atom
* SG: P-62m (189)

Cell: 8.0205 8.0205 4.8547 Å, 90.00 90.00 120.00°
Fractional positions:
1 Rb 0.3333 0.6667 0.0000
2 Rb 0.6667 0.3333 0.0000
3 Ge 0.0000 0.3140 0.5000
4 Ge 0.3140 0.0000 0.5000
5 Ge 0.6860 0.6860 0.5000
6 Au 0.0000 0.2058 0.0000
7 Au 0.0000 0.6433 0.5000
8 Au 0.2058 0.0000 0.0000
9 Au 0.3567 0.3567 0.5000
10 Au 0.6433 0.0000 0.5000
11 Au 0.7942 0.7942 0.0000


Q: What is the formula in the sixth record?
A: Rb2GeAu


Q: Look up the ΔE_f of the ninth one.
A: 0.09 eV/atom


Q: What is the ΔE_f in the sixth record?
A: -0.11 eV/atom